Computed, not measured: a relaxed structure of Mg2CrTc at the PBE-GGA level of DFT.

```
Mg2CrTc
1.0
4.208 0.000 0.000
0.000 2.763 -0.007
0.000 1.147 5.483
Cr Tc Mg
1 1 2
Cartesian
2.104 2.764 3.928
0.000 2.147 2.908
2.104 1.047 1.446
0.000 3.818 5.407
```

Energy above the lowest structure with this stoichiometry, meV per atom: 164
Crystal system: monoclinic
E_form, kJ/mol of atoms: 26
Calculated total energy, eV/atom: -5.529
Mass density, g/cm3: 5.17